No. 1
HfNbTc2 | GGA-PBE | optimized geometry

## Properties
VASP energy = -10.6272 eV per atom
E_form = -0.435 eV/atom
Total magnetic moment = 0.008 μB per cell
Energy above the most stable polymorph in this dataset = 0.008 eV/atom
Space-group type = Fm-3m, No. 225

a = 4.5528 Å, b = 4.5528 Å, c = 4.5528 Å
α = 60.00°, β = 60.00°, γ = 60.00°
Last column: nearest neighbours and their distance in Å.
Element x y z (fractional)
Hf1 0.0000 0.0000 0.0000  8 Tc 2.79
Nb1 0.5000 0.5000 0.5000  8 Tc 2.79
Tc1 0.2500 0.2500 0.2500  4 Nb 2.79, 4 Hf 2.79
Tc2 0.7500 0.7500 0.7500  4 Hf 2.79, 4 Nb 2.79

No. 2
Dy2YErIr4 | GGA-PBE | optimized geometry

## Properties
VASP energy = -7.7835 eV per atom
E_form = -0.827 eV/atom
Total magnetic moment = 0.011 μB per cell
Space-group type = P4/mmm, No. 123

a = 4.8260 Å, b = 4.8260 Å, c = 6.8381 Å
α = 90.00°, β = 90.00°, γ = 90.00°
Last column: nearest neighbours and their distance in Å.
Element x y z (fractional)
Dy1 0.0000 0.0000 0.0000  8 Ir 2.94
Dy2 0.5000 0.5000 0.5000  8 Ir 2.97
Y1 0.0000 0.0000 0.5000  8 Ir 2.97
Er1 0.5000 0.5000 0.0000  8 Ir 2.94
Ir1 0.0000 0.5000 0.2468  4 Dy 2.94-2.97, 2 Er 2.94, 2 Y 2.97
Ir2 0.0000 0.5000 0.7532  4 Dy 2.94-2.97, 2 Er 2.94, 2 Y 2.97
Ir3 0.5000 0.0000 0.2468  4 Dy 2.94-2.97, 2 Er 2.94, 2 Y 2.97
Ir4 0.5000 0.0000 0.7532  4 Dy 2.94-2.97, 2 Er 2.94, 2 Y 2.97

No. 3
PmFeTc | GGA-PBE | optimized geometry

## Properties
VASP energy = -6.4123 eV per atom
E_form = 1.393 eV/atom
Total magnetic moment = 3.960 μB per cell
Energy above the most stable polymorph in this dataset = 0.746 eV/atom
Space-group type = F-43m, No. 216

a = 4.5144 Å, b = 4.5144 Å, c = 4.5144 Å
α = 60.00°, β = 60.00°, γ = 60.00°
Last column: nearest neighbours and their distance in Å.
Element x y z (fractional)
Pm1 0.0000 0.0000 0.0000  4 Fe 2.76, 4 Tc 2.76
Fe1 0.7500 0.7500 0.7500  4 Pm 2.76
Tc1 0.2500 0.2500 0.2500  4 Pm 2.76

Copy entry 3 word for word.
PmFeTc | GGA-PBE | optimized geometry

## Properties
VASP energy = -6.4123 eV per atom
E_form = 1.393 eV/atom
Total magnetic moment = 3.960 μB per cell
Energy above the most stable polymorph in this dataset = 0.746 eV/atom
Space-group type = F-43m, No. 216

a = 4.5144 Å, b = 4.5144 Å, c = 4.5144 Å
α = 60.00°, β = 60.00°, γ = 60.00°
Last column: nearest neighbours and their distance in Å.
Element x y z (fractional)
Pm1 0.0000 0.0000 0.0000  4 Fe 2.76, 4 Tc 2.76
Fe1 0.7500 0.7500 0.7500  4 Pm 2.76
Tc1 0.2500 0.2500 0.2500  4 Pm 2.76